[1]
Computed, not measured: a relaxed Sr2TlIn2 crystal at the PBE level of DFT.

Properties
- Crystal system: monoclinic
- Total magnetization: 0.0 Bohr magnetons per cell
- N(E_F): 5.29 states/eV per cell
- Space-group type: No. 12
- ΔE to the lowest computed polymorph: 0.000 eV/atom
- Energy relative to the elements: -193 kJ/mol of formula units
- Energy: -26.4 eV for the cell shown

a = 6.6135 Å, b = 6.6135 Å, c = 12.2183 Å
α = 114.88°, β = 114.88°, γ = 44.58°
Closest atoms and distances in Å follow each position.
Element x y z (fractional)
Sr 0.0078 0.0078 0.3274  7 In 3.52-3.88, 3 Tl 3.55-3.61
Sr 0.1856 0.1856 0.1069  6 In 3.47-3.72, 2 Tl 3.65
Sr 0.8144 0.8144 0.8931  6 In 3.47-3.72, 2 Tl 3.65
Sr 0.9922 0.9922 0.6726  7 In 3.52-3.88, 3 Tl 3.55-3.61
Tl 0.2825 0.2825 0.6633  4 In 3.01-3.18
Tl 0.7175 0.7175 0.3367  4 In 3.01-3.18
In 0.3608 0.3608 0.4478  3 Tl 3.01-3.18, 1 In 3.05
In 0.4691 0.4691 0.1067  1 In 3.03, 1 Tl 3.06
In 0.5309 0.5309 0.8933  1 In 3.03, 1 Tl 3.06
In 0.6392 0.6392 0.5522  3 Tl 3.01-3.18, 1 In 3.05



[2]
Computed, not measured: a relaxed SrTlIn4 crystal at the PBE level of DFT.

Properties
- Crystal system: cubic
- Total magnetization: 0.0 Bohr magnetons per cell
- N(E_F): 3.51 states/eV per cell
- Space-group type: No. 216
- ΔE to the lowest computed polymorph: 0.025 eV/atom
- Energy relative to the elements: -108 kJ/mol of formula units
- Energy: -16.1 eV for the cell shown

a = 6.3202 Å, b = 6.3202 Å, c = 6.3202 Å
α = 60.00°, β = 60.00°, γ = 60.00°
Closest atoms and distances in Å follow each position.
Element x y z (fractional)
Sr 0.0000 0.0000 0.0000  12 In 3.71, 4 Tl 3.87
Tl 0.2500 0.2500 0.2500  12 In 3.70, 4 Sr 3.87
In 0.1260 0.6247 0.6247  6 In 3.15-3.17
In 0.6247 0.1260 0.6247  6 In 3.15-3.17
In 0.6247 0.6247 0.1260  6 In 3.15-3.17
In 0.6247 0.6247 0.6247  6 In 3.15-3.17



[3]
Computed, not measured: a relaxed Sr2TlIn crystal at the PBE level of DFT.

Properties
- Crystal system: orthorhombic
- Total magnetization: 0.0 Bohr magnetons per cell
- N(E_F): 2.64 states/eV per cell
- Space-group type: No. 25
- Energy relative to the elements: -165 kJ/mol of formula units
- Energy: -10.2 eV for the cell shown

a = 4.1514 Å, b = 5.7158 Å, c = 5.7424 Å
α = 90.00°, β = 90.00°, γ = 90.00°
Closest atoms and distances in Å follow each position.
Element x y z (fractional)
Sr 0.0000 0.0000 0.0000  4 In 3.51-3.58, 4 Tl 3.53
Sr 0.0000 0.5000 0.4838  4 Tl 3.51-3.58, 4 In 3.53
Tl 0.5000 0.5000 0.9757  8 Sr 3.51-3.58, 2 In 3.92
In 0.5000 0.0000 0.5072  8 Sr 3.51-3.58, 2 Tl 3.92



[4]
Computed, not measured: a relaxed SrTlIn2 crystal at the PBE level of DFT.

Properties
- Crystal system: monoclinic
- Total magnetization: 0.0 Bohr magnetons per cell
- N(E_F): 1.94 states/eV per cell
- Space-group type: No. 10
- Energy relative to the elements: -75 kJ/mol of formula units
- Energy: -10.3 eV for the cell shown

a = 3.7159 Å, b = 5.5164 Å, c = 6.0953 Å
α = 90.00°, β = 95.70°, γ = 90.00°
Closest atoms and distances in Å follow each position.
Element x y z (fractional)
Sr 0.0000 0.0000 0.0000  4 Tl 3.41-3.72, 4 In 3.51, 2 Sr 3.72
Tl 0.5000 0.0000 0.5000  4 In 3.19, 2 Sr 3.41
In 0.3583 0.5000 0.7398  2 Tl 3.19, 2 In 3.20-3.24, 2 Sr 3.51
In 0.6417 0.5000 0.2602  2 Tl 3.19, 2 In 3.20-3.24, 2 Sr 3.51



[5]
Computed, not measured: a relaxed Sr3Tl3In2 crystal at the PBE level of DFT.

Properties
- Crystal system: orthorhombic
- Total magnetization: 0.0 Bohr magnetons per cell
- N(E_F): 5.44 states/eV per cell
- Space-group type: No. 63
- Energy relative to the elements: -305 kJ/mol of formula units
- Energy: -41.6 eV for the cell shown

a = 6.6156 Å, b = 6.6156 Å, c = 16.9905 Å
α = 90.00°, β = 90.00°, γ = 134.86°
Closest atoms and distances in Å follow each position.
Element x y z (fractional)
Sr 0.0853 0.9147 0.6083  7 Tl 3.52-3.81, 3 In 3.58
Sr 0.0853 0.9147 0.8917  7 Tl 3.52-3.81, 3 In 3.58
Sr 0.3585 0.6415 0.7500  5 Tl 3.45-3.69, 4 In 3.60
Sr 0.6415 0.3585 0.2500  5 Tl 3.45-3.69, 4 In 3.60
Sr 0.9147 0.0853 0.1083  7 Tl 3.52-3.81, 3 In 3.58
Sr 0.9147 0.0853 0.3917  7 Tl 3.52-3.81, 3 In 3.58
Tl 0.3591 0.6409 0.2500  2 In 3.05
Tl 0.3778 0.6222 0.5330  3 In 3.02-3.16, 1 Tl 3.19
Tl 0.3778 0.6222 0.9670  3 In 3.02-3.16, 1 Tl 3.19
Tl 0.6222 0.3778 0.0330  3 In 3.02-3.16, 1 Tl 3.19
Tl 0.6222 0.3778 0.4670  3 In 3.02-3.16, 1 Tl 3.19
Tl 0.6409 0.3591 0.7500  2 In 3.05
In 0.2076 0.7924 0.1074  4 Tl 3.02-3.16
In 0.2076 0.7924 0.3926  4 Tl 3.02-3.16
In 0.7924 0.2076 0.6074  4 Tl 3.02-3.16
In 0.7924 0.2076 0.8926  4 Tl 3.02-3.16



[6]
Computed, not measured: a relaxed SrTl15In4 crystal at the PBE level of DFT.

Properties
- Crystal system: tetragonal
- Total magnetization: 0.0 Bohr magnetons per cell
- N(E_F): 9.72 states/eV per cell
- Space-group type: No. 123
- Energy relative to the elements: -73 kJ/mol of formula units
- Energy: -48.9 eV for the cell shown

a = 5.5659 Å, b = 5.5659 Å, c = 19.5200 Å
α = 90.00°, β = 90.00°, γ = 90.00°
Closest atoms and distances in Å follow each position.
Element x y z (fractional)
Sr 0.0000 0.0000 0.0000  8 Tl 3.50, 2 In 3.92
Tl 0.0000 0.5000 0.1085  2 In 3.31, 4 Tl 3.35-3.50, 2 Sr 3.50
Tl 0.0000 0.5000 0.3020  5 Tl 3.37-3.78, 4 In 3.38-3.41
Tl 0.0000 0.5000 0.5000  4 Tl 3.39, 4 In 3.39
Tl 0.0000 0.5000 0.6980  5 Tl 3.37-3.78, 4 In 3.38-3.41
Tl 0.0000 0.5000 0.8915  2 In 3.31, 4 Tl 3.35-3.50, 2 Sr 3.50
Tl 0.5000 0.0000 0.1085  2 In 3.31, 4 Tl 3.35-3.50, 2 Sr 3.50
Tl 0.5000 0.0000 0.3020  5 Tl 3.37-3.78, 4 In 3.38-3.41
Tl 0.5000 0.0000 0.5000  4 Tl 3.39, 4 In 3.39
Tl 0.5000 0.0000 0.6980  5 Tl 3.37-3.78, 4 In 3.38-3.41
Tl 0.5000 0.0000 0.8915  2 In 3.31, 4 Tl 3.35-3.50, 2 Sr 3.50
Tl 0.5000 0.5000 0.0000  8 Tl 3.50
Tl 0.5000 0.5000 0.2042  8 Tl 3.35-3.37
Tl 0.5000 0.5000 0.4009  8 Tl 3.39
Tl 0.5000 0.5000 0.5991  8 Tl 3.39
Tl 0.5000 0.5000 0.7958  8 Tl 3.35-3.37
In 0.0000 0.0000 0.2007  8 Tl 3.31-3.41
In 0.0000 0.0000 0.4005  8 Tl 3.38-3.39
In 0.0000 0.0000 0.5995  8 Tl 3.38-3.39
In 0.0000 0.0000 0.7993  8 Tl 3.31-3.41



[7]
Computed, not measured: a relaxed SrTl12In6 crystal at the PBE level of DFT.

Properties
- Crystal system: trigonal
- Total magnetization: 0.0 Bohr magnetons per cell
- N(E_F): 9.48 states/eV per cell
- Space-group type: No. 166
- Energy relative to the elements: 71 kJ/mol of formula units
- Energy: -45.8 eV for the cell shown

a = 9.0099 Å, b = 9.0099 Å, c = 9.0099 Å
α = 106.55°, β = 106.55°, γ = 106.55°
Closest atoms and distances in Å follow each position.
Element x y z (fractional)
Sr 0.0000 0.0000 0.0000  6 Tl 3.48
Tl 0.1113 0.3571 0.3571  4 In 3.13-3.50, 2 Tl 3.34, 1 Sr 3.48
Tl 0.1140 0.5000 0.8860  4 In 3.26-3.39, 3 Tl 3.29-3.34
Tl 0.1140 0.8860 0.5000  4 In 3.26-3.39, 3 Tl 3.29-3.34
Tl 0.3571 0.1113 0.3571  4 In 3.13-3.50, 2 Tl 3.34, 1 Sr 3.48
Tl 0.3571 0.3571 0.1113  4 In 3.13-3.50, 2 Tl 3.34, 1 Sr 3.48
Tl 0.5000 0.1140 0.8860  4 In 3.26-3.39, 3 Tl 3.29-3.34
Tl 0.5000 0.8860 0.1140  4 In 3.26-3.39, 3 Tl 3.29-3.34
Tl 0.6429 0.6429 0.8887  4 In 3.13-3.50, 2 Tl 3.34, 1 Sr 3.48
Tl 0.6429 0.8887 0.6429  4 In 3.13-3.50, 2 Tl 3.34, 1 Sr 3.48
Tl 0.8860 0.1140 0.5000  4 In 3.26-3.39, 3 Tl 3.29-3.34
Tl 0.8860 0.5000 0.1140  4 In 3.26-3.39, 3 Tl 3.29-3.34
Tl 0.8887 0.6429 0.6429  4 In 3.13-3.50, 2 Tl 3.34, 1 Sr 3.48
In 0.2992 0.6875 0.6875  8 Tl 3.13-3.50, 2 In 3.45
In 0.3125 0.3125 0.7008  8 Tl 3.13-3.50, 2 In 3.45
In 0.3125 0.7008 0.3125  8 Tl 3.13-3.50, 2 In 3.45
In 0.6875 0.2992 0.6875  8 Tl 3.13-3.50, 2 In 3.45
In 0.6875 0.6875 0.2992  8 Tl 3.13-3.50, 2 In 3.45
In 0.7008 0.3125 0.3125  8 Tl 3.13-3.50, 2 In 3.45



[8]
Computed, not measured: a relaxed Sr2Tl9In crystal at the PBE level of DFT.

Properties
- Crystal system: tetragonal
- Total magnetization: 0.0 Bohr magnetons per cell
- N(E_F): 5.89 states/eV per cell
- Space-group type: No. 123
- Energy relative to the elements: -191 kJ/mol of formula units
- Energy: -29.4 eV for the cell shown

a = 5.3756 Å, b = 5.3756 Å, c = 12.8690 Å
α = 90.00°, β = 90.00°, γ = 90.00°
Closest atoms and distances in Å follow each position.
Element x y z (fractional)
Sr 0.0000 0.0000 0.1788  12 Tl 3.47-3.80
Sr 0.0000 0.0000 0.8212  12 Tl 3.47-3.80
Tl 0.0000 0.5000 0.0000  8 Tl 3.46-3.80, 4 Sr 3.54
Tl 0.0000 0.5000 0.3491  4 Tl 3.32-3.55, 2 In 3.32, 2 Sr 3.47
Tl 0.0000 0.5000 0.6509  4 Tl 3.32-3.55, 2 In 3.32, 2 Sr 3.47
Tl 0.5000 0.0000 0.0000  8 Tl 3.46-3.80, 4 Sr 3.54
Tl 0.5000 0.0000 0.3491  4 Tl 3.32-3.55, 2 In 3.32, 2 Sr 3.47
Tl 0.5000 0.0000 0.6509  4 Tl 3.32-3.55, 2 In 3.32, 2 Sr 3.47
Tl 0.5000 0.5000 0.1689  8 Tl 3.46-3.55, 4 Sr 3.80
Tl 0.5000 0.5000 0.5000  8 Tl 3.32
Tl 0.5000 0.5000 0.8311  8 Tl 3.46-3.55, 4 Sr 3.80
In 0.0000 0.0000 0.5000  8 Tl 3.32



[9]
Computed, not measured: a relaxed Sr3TlIn3 crystal at the PBE level of DFT.

Properties
- Crystal system: monoclinic
- Total magnetization: 0.0 Bohr magnetons per cell
- N(E_F): 9.54 states/eV per cell
- Space-group type: No. 12
- Energy relative to the elements: -272 kJ/mol of formula units
- Energy: -36.9 eV for the cell shown

a = 6.6601 Å, b = 6.6601 Å, c = 16.7148 Å
α = 108.03°, β = 108.03°, γ = 43.50°
Closest atoms and distances in Å follow each position.
Element x y z (fractional)
Sr 0.0292 0.0292 0.3799  6 In 3.51-3.73, 3 Tl 3.55-3.64
Sr 0.1084 0.1084 0.9243  7 In 3.51-3.64
Sr 0.2395 0.2395 0.2263  6 In 3.51-3.76, 2 Tl 3.65
Sr 0.7605 0.7605 0.7737  6 In 3.51-3.76, 2 Tl 3.65
Sr 0.8916 0.8916 0.0757  7 In 3.51-3.64
Sr 0.9708 0.9708 0.6201  6 In 3.51-3.73, 3 Tl 3.55-3.64
Tl 0.2620 0.2620 0.6135  4 In 3.00-3.19
Tl 0.7380 0.7380 0.3865  4 In 3.00-3.19
In 0.3687 0.3687 0.4642  3 Tl 3.00-3.19, 1 In 3.07
In 0.3917 0.3917 0.9242  2 In 3.01-3.03
In 0.4761 0.4761 0.7736  1 In 3.03, 1 Tl 3.07
In 0.5239 0.5239 0.2264  1 In 3.03, 1 Tl 3.07
In 0.6083 0.6083 0.0758  2 In 3.01-3.03
In 0.6313 0.6313 0.5358  3 Tl 3.00-3.19, 1 In 3.07



[10]
Computed, not measured: a relaxed Sr2TlIn crystal at the PBE level of DFT.

Properties
- Crystal system: tetragonal
- Total magnetization: 0.0 Bohr magnetons per cell
- N(E_F): 2.63 states/eV per cell
- Space-group type: No. 119
- Energy relative to the elements: -104 kJ/mol of formula units
- Energy: -9.6 eV for the cell shown

a = 6.4979 Å, b = 6.4979 Å, c = 6.4979 Å
α = 134.33°, β = 134.33°, γ = 66.58°
Closest atoms and distances in Å follow each position.
Element x y z (fractional)
Sr 0.0000 0.0000 0.0000  4 In 3.57, 4 Tl 3.71, 4 Sr 3.71
Sr 0.7500 0.2500 0.5000  4 Tl 3.57, 4 Sr 3.71, 4 In 3.71
Tl 0.2500 0.7500 0.5000  8 Sr 3.57-3.71, 4 In 3.71
In 0.5000 0.5000 0.0000  8 Sr 3.57-3.71, 4 Tl 3.71



[11]
Computed, not measured: a relaxed Sr5Tl2In crystal at the PBE level of DFT.

Properties
- Crystal system: tetragonal
- Total magnetization: 0.0 Bohr magnetons per cell
- N(E_F): 18.71 states/eV per cell
- Space-group type: No. 140
- Energy relative to the elements: -253 kJ/mol of formula units
- Energy: -37.0 eV for the cell shown

a = 10.1841 Å, b = 10.1841 Å, c = 10.1841 Å
α = 128.09°, β = 128.09°, γ = 76.48°
Closest atoms and distances in Å follow each position.
Element x y z (fractional)
Sr 0.0000 0.0000 0.0000  4 Tl 3.54
Sr 0.0254 0.5254 0.8425  3 Tl 3.49-3.53, 2 In 3.70, 1 Sr 3.88
Sr 0.1829 0.0254 0.5000  3 Tl 3.49-3.53, 2 In 3.70, 1 Sr 3.88
Sr 0.3171 0.8171 0.8425  3 Tl 3.49-3.53, 2 In 3.70, 1 Sr 3.88
Sr 0.4746 0.3171 0.5000  3 Tl 3.49-3.53, 2 In 3.70, 1 Sr 3.88
Sr 0.5000 0.5000 0.0000  4 Tl 3.54
Sr 0.5254 0.6829 0.5000  3 Tl 3.49-3.53, 2 In 3.70, 1 Sr 3.88
Sr 0.6829 0.1829 0.1575  3 Tl 3.49-3.53, 2 In 3.70, 1 Sr 3.88
Sr 0.8171 0.9746 0.5000  3 Tl 3.49-3.53, 2 In 3.70, 1 Sr 3.88
Sr 0.9746 0.4746 0.1575  3 Tl 3.49-3.53, 2 In 3.70, 1 Sr 3.88
Tl 0.1225 0.3775 0.5000  1 Tl 3.09
Tl 0.3775 0.8775 0.2549  1 Tl 3.09
Tl 0.6225 0.1225 0.7451  1 Tl 3.09
Tl 0.8775 0.6225 0.5000  1 Tl 3.09
In 0.2500 0.2500 0.0000  10 Sr 3.70-4.00
In 0.7500 0.7500 0.0000  10 Sr 3.70-4.00



[12]
Computed, not measured: a relaxed Sr3TlIn2 crystal at the PBE level of DFT.

Properties
- Crystal system: orthorhombic
- Total magnetization: 0.0 Bohr magnetons per cell
- N(E_F): 4.68 states/eV per cell
- Space-group type: No. 65
- Energy relative to the elements: -249 kJ/mol of formula units
- Energy: -15.5 eV for the cell shown

a = 9.1442 Å, b = 9.1442 Å, c = 4.0763 Å
α = 90.00°, β = 90.00°, γ = 143.24°
Closest atoms and distances in Å follow each position.
Element x y z (fractional)
Sr 0.0000 0.0000 0.0000  4 Tl 3.53, 4 In 3.55
Sr 0.3330 0.6670 0.0000  6 In 3.52-3.53, 2 Tl 3.54
Sr 0.6670 0.3330 0.0000  6 In 3.52-3.53, 2 Tl 3.54
Tl 0.5000 0.5000 0.5000  8 Sr 3.53-3.54
In 0.1673 0.8327 0.5000  8 Sr 3.52-3.55
In 0.8327 0.1673 0.5000  8 Sr 3.52-3.55



Q: Look up the N(E_F) of the second one.
A: 3.51 states/eV per cell